# 1
# ZnSnPF2, optimized geometry, DFT PBE
# Formation energy without anion corrections: -22.7 kcal/mol of atoms
data_ZnSnPF2
_cell_length_a 4.239
_cell_length_b 4.239
_cell_length_c 5.342
_cell_angle_alpha 90.00
_cell_angle_beta 90.00
_cell_angle_gamma 90.00
_symmetry_space_group_name_H-M 'P 4/m m m'
_symmetry_Int_Tables_number 123
_symmetry_space_group_name_Hall '-P 4 2'
loop_
_atom_site_label
_atom_site_type_symbol
_atom_site_fract_x
_atom_site_fract_y
_atom_site_fract_z
Zn1 Zn 0.000 0.000 0.000
Sn1 Sn 0.500 0.500 0.500
P1 P 0.500 0.500 0.000
F1 F 0.000 0.500 0.500

***

# 2
Density functional theory data (PBE) for a geometry-optimized Ti2GaCu structure.

```
data_Ti2GaCu
_cell_length_a 2.817
_cell_length_b 2.817
_cell_length_c 7.580
_cell_angle_alpha 90.00
_cell_angle_beta 90.00
_cell_angle_gamma 90.00
_symmetry_space_group_name_H-M 'P 4/m m m'
_symmetry_Int_Tables_number 123
_symmetry_space_group_name_Hall '-P 4 2'
loop_
_atom_site_label
_atom_site_type_symbol
_atom_site_fract_x
_atom_site_fract_y
_atom_site_fract_z
Ti1 Ti 0.000 0.000 0.243
Ga1 Ga 0.500 0.500 0.500
Cu1 Cu 0.500 0.500 0.000
```

***

# 3
Density functional theory data (PBE) for a geometry-optimized Cs6Tl3Pb structure.

```
data_Cs6Tl3Pb
_cell_length_a 11.8015
_cell_length_b 11.8015
_cell_length_c 14.7146
_cell_angle_alpha 90.00
_cell_angle_beta 90.00
_cell_angle_gamma 120.00
_symmetry_space_group_name_H-M 'R 3'
_symmetry_Int_Tables_number 146
_symmetry_space_group_name_Hall 'R 3'
loop_
_atom_site_label
_atom_site_type_symbol
_atom_site_fract_x
_atom_site_fract_y
_atom_site_fract_z
Cs1 Cs 0.0029 0.3202 0.0000
Cs2 Cs 0.0255 0.6688 0.1670
Tl1 Tl 0.0000 0.0000 0.0976
Tl2 Tl 0.0000 0.0000 0.6923
Tl3 Tl 0.0000 0.0000 0.8908
Pb1 Pb 0.0000 0.0000 0.2955
```

***

| no. | calculated total energy (eV per atom) | Fermi-level density of states (states/eV/f.u.) |
| --- | --- | --- |
| 1 | -3.87 | 1.10 |
| 2 | -6.01 | 3.72 |
| 3 | -1.65 | 6.04 |